(1)
A plane-wave DFT calculation with GGA-PBE was carried out for a relaxed structure of PaNb2In2S6.

Properties
Total moment, μB per formula unit: 0.11
Crystal system: monoclinic
ΔE_f (raw), meV per atom: -971
SG: C2/m (12)

a b c (Å): 6.193 6.193 7.953
angles (deg): 96.39 96.39 117.57
Positions (direct):
Pa (0.000, 0.000, 0.500)
In (0.179, 0.821, 0.000)
S (0.410, 0.052, 0.687)
S (0.275, 0.275, 0.284)
S (0.948, 0.590, 0.313)
S (0.052, 0.410, 0.687)
S (0.590, 0.948, 0.313)
Nb (0.362, 0.638, 0.500)
In (0.821, 0.179, 0.000)
Nb (0.638, 0.362, 0.500)
S (0.725, 0.725, 0.716)

(2)
A plane-wave DFT calculation with GGA-PBE was carried out for a relaxed structure of PaNb2In2Se6.

Properties
Total moment, μB per formula unit: 0.00
Crystal system: monoclinic
ΔE_f (raw), meV per atom: -795
SG: C2/m (12)

a b c (Å): 6.517 6.517 8.409
angles (deg): 97.51 97.51 123.54
Positions (direct):
In (0.150, 0.850, 0.000)
Se (0.576, 0.918, 0.283)
Se (0.424, 0.082, 0.717)
Se (0.082, 0.424, 0.717)
Nb (0.311, 0.689, 0.500)
In (0.850, 0.150, 0.000)
Pa (0.000, 0.000, 0.500)
Se (0.291, 0.291, 0.306)
Se (0.918, 0.576, 0.283)
Se (0.709, 0.709, 0.694)
Nb (0.689, 0.311, 0.500)

> Which of these has the highest total moment?

PaNb2In2S6

What did the second record say?
A plane-wave DFT calculation with GGA-PBE was carried out for a relaxed structure of PaNb2In2Se6.

Properties
Total moment, μB per formula unit: 0.00
Crystal system: monoclinic
ΔE_f (raw), meV per atom: -795
SG: C2/m (12)

a b c (Å): 6.517 6.517 8.409
angles (deg): 97.51 97.51 123.54
Positions (direct):
In (0.150, 0.850, 0.000)
Se (0.576, 0.918, 0.283)
Se (0.424, 0.082, 0.717)
Se (0.082, 0.424, 0.717)
Nb (0.311, 0.689, 0.500)
In (0.850, 0.150, 0.000)
Pa (0.000, 0.000, 0.500)
Se (0.291, 0.291, 0.306)
Se (0.918, 0.576, 0.283)
Se (0.709, 0.709, 0.694)
Nb (0.689, 0.311, 0.500)